No. 1
Entry from the Alexandria database: a geometry-optimized Ho2Er5Ru4 structure (PBE).

Cell lengths 23.368, 3.407, 6.893 Å; angles 90.00, 96.79, 90.00 degrees
Space group C2/m (No. 12)
Unique sites:
Ho (0.232, 0.000, 0.280) (multiplicity 4)
Er (0.000, 0.000, 0.000) (multiplicity 2)
Er (0.095, 0.500, 0.390) (multiplicity 4)
Er (0.128, 0.500, 0.883) (multiplicity 4)
Ru (0.022, 0.500, 0.692) (multiplicity 4)
Ru (0.175, 0.000, 0.614) (multiplicity 4)

Properties
**Magnetic moment**: 0.00 μB/f.u.
**Crystal system**: monoclinic
**Energy of formation from the pure elements**: -123.2 kJ/mol of formula units


No. 2
Entry from the Alexandria database: a geometry-optimized Ho2ErRu3 structure (PBE).

Cell lengths 4.7766, 4.7766, 5.8581 Å; angles 90.00, 90.00, 120.00 degrees
Space group P-3m1 (No. 164)
Unique sites:
Ho (0.3333, 0.6667, 0.1671) (multiplicity 2)
Er (0.0000, 0.0000, 0.5000) (multiplicity 1)
Ru (0.0000, 0.0000, 0.0000) (multiplicity 1)
Ru (0.3333, 0.6667, 0.6660) (multiplicity 2)

Properties
**Magnetic moment**: 0.00 μB/f.u.
**Energy above the most stable polymorph in this dataset**: 6 meV per atom
**Crystal system**: trigonal
**Energy of formation from the pure elements**: -206.3 kJ/mol of formula units


No. 3
Entry from the Alexandria database: a geometry-optimized Ho3Er2Ru4 structure (PBE).

Cell lengths 4.8346, 4.8346, 9.1679 Å; angles 90.00, 90.00, 120.00 degrees
Space group P-3m1 (No. 164)
Unique sites:
Ho (0.0000, 0.0000, 0.0000) (multiplicity 1)
Ho (0.3333, 0.6667, 0.4092) (multiplicity 2)
Er (0.3333, 0.6667, 0.7953) (multiplicity 2)
Ru (0.0000, 0.0000, 0.3565) (multiplicity 2)
Ru (0.3333, 0.6667, 0.1061) (multiplicity 2)

Properties
**Magnetic moment**: 0.00 μB/f.u.
**Crystal system**: trigonal
**Energy of formation from the pure elements**: -322.0 kJ/mol of formula units


No. 4
Entry from the Alexandria database: a geometry-optimized HoEr3Ru4 structure (PBE).

Cell lengths 4.766, 4.766, 6.759 Å; angles 90.00, 90.00, 90.00 degrees
Space group P4/mmm (No. 123)
Unique sites:
Ho (0.000, 0.000, 0.000) (multiplicity 1)
Er (0.000, 0.000, 0.500) (multiplicity 1)
Er (0.500, 0.500, 0.000) (multiplicity 1)
Er (0.500, 0.500, 0.500) (multiplicity 1)
Ru (0.000, 0.500, 0.251) (multiplicity 4)

Properties
**Magnetic moment**: 0.00 μB/f.u.
**Crystal system**: tetragonal
**Energy of formation from the pure elements**: -288.3 kJ/mol of formula units


No. 5
Entry from the Alexandria database: a geometry-optimized Ho3ErRu structure (PBE).

Cell lengths 5.355, 5.355, 5.355 Å; angles 90.00, 90.00, 90.00 degrees
Space group Pm-3m (No. 221)
Unique sites:
Ho (0.000, 0.000, 0.500) (multiplicity 3)
Er (0.500, 0.500, 0.500) (multiplicity 1)
Ru (0.000, 0.000, 0.000) (multiplicity 1)

Properties
**Magnetic moment**: 0.00 μB/f.u.
**Energy above the most stable polymorph in this dataset**: 183 meV per atom
**Crystal system**: cubic
**Energy of formation from the pure elements**: -25.8 kJ/mol of formula units


No. 6
Entry from the Alexandria database: a geometry-optimized Ho8ErRu2 structure (PBE).

Cell lengths 11.935, 8.567, 8.069 Å; angles 90.00, 124.66, 90.00 degrees
Space group C2/m (No. 12)
Unique sites:
Ho (0.094, 0.198, 0.294) (multiplicity 8)
Ho (0.146, 0.500, 0.739) (multiplicity 4)
Ho (0.171, 0.000, 0.725) (multiplicity 4)
Er (0.000, 0.500, 0.000) (multiplicity 2)
Ru (0.175, 0.500, 0.430) (multiplicity 4)

Properties
**Magnetic moment**: 0.00 μB/f.u.
**Crystal system**: monoclinic
**Energy of formation from the pure elements**: -26.6 kJ/mol of formula units